1.
A plane-wave DFT calculation with GGA-PBE was carried out for a relaxed structure of K2TiI4Br2.

* space-group type: C2/m

Cell lengths 7.8074, 7.8074, 8.1358 Å; angles 121.21, 121.21, 62.48 degrees
With the nearest neighbours (Å) after each atom.
Sites, in units of the cell vectors:
K 0.2482 0.2482 0.2702  1 Br 3.41, 4 I 3.75-3.79
K 0.7518 0.7518 0.7298  1 Br 3.41, 4 I 3.75-3.79
Ti 0.0000 0.0000 0.5000  2 Br 2.50, 4 I 2.79
I 0.2081 0.7223 0.2268  1 Ti 2.79
I 0.2777 0.7919 0.7732  1 Ti 2.79
I 0.7223 0.2081 0.2268  1 Ti 2.79
I 0.7919 0.2777 0.7732  1 Ti 2.79
Br 0.2316 0.2316 0.6725  1 Ti 2.50
Br 0.7684 0.7684 0.3275  1 Ti 2.50

***

2.
A plane-wave DFT calculation with GGA-PBE was carried out for a relaxed structure of NpPaHg.

* energy of formation from the pure elements: 0.23 eV per atom
* space-group type: I4mm

Cell lengths 3.0261, 3.0261, 15.3226 Å; angles 90.00, 90.00, 90.00 degrees
With the nearest neighbours (Å) after each atom.
Sites, in units of the cell vectors:
Np 0.0000 0.0000 0.0000  4 Np 3.03, 4 Pa 3.28, 4 Hg 3.35
Np 0.5000 0.5000 0.5000  4 Np 3.03, 4 Pa 3.28, 4 Hg 3.35
Pa 0.0000 0.0000 0.6622  4 Pa 3.03, 4 Np 3.28, 4 Hg 3.37
Pa 0.5000 0.5000 0.1622  4 Pa 3.03, 4 Np 3.28, 4 Hg 3.37
Hg 0.0000 0.0000 0.3320  4 Hg 3.03, 4 Np 3.35, 4 Pa 3.37
Hg 0.5000 0.5000 0.8320  4 Hg 3.03, 4 Np 3.35, 4 Pa 3.37

***

3.
A plane-wave DFT calculation with GGA-PBE was carried out for a relaxed structure of Cs2Cu2IBr6.

* space-group type: C2/m

Cell lengths 8.3831, 8.3831, 7.3779 Å; angles 104.05, 104.05, 57.00 degrees
With the nearest neighbours (Å) after each atom.
Sites, in units of the cell vectors:
Cs 0.2107 0.2107 0.2015  8 Br 3.79-4.02
Cs 0.7893 0.7893 0.7985  8 Br 3.79-4.02
Cu 0.4479 0.4479 0.8242  3 Br 2.34-2.38
Cu 0.5521 0.5521 0.1758  3 Br 2.34-2.38
I 0.0000 0.0000 0.5000  4 Br 3.01
Br 0.2291 0.6750 0.2124  1 Cu 2.38
Br 0.2826 0.2826 0.7364  1 Cu 2.34
Br 0.3250 0.7709 0.7876  1 Cu 2.38
Br 0.6750 0.2291 0.2124  1 Cu 2.38
Br 0.7174 0.7174 0.2636  1 Cu 2.34
Br 0.7709 0.3250 0.7876  1 Cu 2.38

***

4.
A plane-wave DFT calculation with GGA-PBE was carried out for a relaxed structure of Mn2HgW.

* energy of formation from the pure elements: 0.91 eV per atom
* space-group type: I-42d

Cell lengths 7.0154, 7.0154, 5.5405 Å; angles 90.00, 90.00, 90.00 degrees
With the nearest neighbours (Å) after each atom.
Sites, in units of the cell vectors:
Mn 0.2170 0.2500 0.1250  2 W 2.42
Mn 0.2500 0.7170 0.3750  2 W 2.42
Mn 0.2500 0.7830 0.8750  2 W 2.42
Mn 0.2830 0.2500 0.6250  2 W 2.42
Mn 0.7170 0.7500 0.6250  2 W 2.42
Mn 0.7500 0.2170 0.8750  2 W 2.42
Mn 0.7500 0.2830 0.3750  2 W 2.42
Mn 0.7830 0.7500 0.1250  2 W 2.42
Hg 0.0000 0.0000 0.5000  4 Mn 2.74, 2 W 2.77
Hg 0.0000 0.5000 0.7500  4 Mn 2.74, 2 W 2.77
Hg 0.5000 0.0000 0.2500  4 Mn 2.74, 2 W 2.77
Hg 0.5000 0.5000 0.0000  4 Mn 2.74, 2 W 2.77
W 0.0000 0.0000 0.0000  4 Mn 2.42
W 0.0000 0.5000 0.2500  4 Mn 2.42
W 0.5000 0.0000 0.7500  4 Mn 2.42
W 0.5000 0.5000 0.5000  4 Mn 2.42

***

5.
A plane-wave DFT calculation with GGA-PBE was carried out for a relaxed structure of YTcTe2.

* space-group type: R3m

Cell lengths 3.8630, 3.8630, 25.9521 Å; angles 90.00, 90.00, 120.00 degrees
With the nearest neighbours (Å) after each atom.
Sites, in units of the cell vectors:
Y 0.0000 0.0000 0.0000  3 Te 3.06, 3 Tc 3.09
Y 0.3333 0.6667 0.6667  3 Te 3.06, 3 Tc 3.09
Y 0.6667 0.3333 0.3333  3 Te 3.06, 3 Tc 3.09
Tc 0.0000 0.0000 0.2512  3 Te 2.59
Tc 0.3333 0.6667 0.9179  3 Te 2.59
Tc 0.6667 0.3333 0.5845  3 Te 2.59
Te 0.0000 0.0000 0.5337  3 Tc 2.59
Te 0.0000 0.0000 0.7474  3 Y 3.06
Te 0.3333 0.6667 0.2004  3 Tc 2.59
Te 0.3333 0.6667 0.4140  3 Y 3.06
Te 0.6667 0.3333 0.0807  3 Y 3.06
Te 0.6667 0.3333 0.8671  3 Tc 2.59

***

6.
A plane-wave DFT calculation with GGA-PBE was carried out for a relaxed structure of DyMg11Ag.

* energy of formation from the pure elements: -0.06 eV per atom
* space-group type: C2/m

Cell lengths 7.7483, 7.7483, 7.6911 Å; angles 97.71, 97.71, 136.23 degrees
With the nearest neighbours (Å) after each atom.
Sites, in units of the cell vectors:
Dy 0.0000 0.0000 0.0000  18 Mg 3.56-3.87, 2 Ag 3.89
Mg 0.0000 0.0000 0.5000  2 Ag 2.89, 8 Mg 2.96-3.06
Mg 0.0000 0.5000 0.0000  10 Mg 2.89-3.16
Mg 0.0090 0.3541 0.3547  8 Mg 3.05-3.37, 1 Ag 3.05
Mg 0.2970 0.5043 0.7861  1 Ag 2.88, 6 Mg 2.96-3.14
Mg 0.3541 0.0090 0.3547  8 Mg 3.05-3.37, 1 Ag 3.05
Mg 0.4957 0.7030 0.2139  1 Ag 2.88, 6 Mg 2.96-3.14
Mg 0.5000 0.0000 0.0000  10 Mg 2.89-3.16
Mg 0.5043 0.2970 0.7861  1 Ag 2.88, 6 Mg 2.96-3.14
Mg 0.6459 0.9910 0.6453  8 Mg 3.05-3.37, 1 Ag 3.05
Mg 0.7030 0.4957 0.2139  1 Ag 2.88, 6 Mg 2.96-3.14
Mg 0.9910 0.6459 0.6453  8 Mg 3.05-3.37, 1 Ag 3.05
Ag 0.5000 0.5000 0.5000  10 Mg 2.88-3.05

***

7.
A plane-wave DFT calculation with GGA-PBE was carried out for a relaxed structure of Tl2ZnGeO6.

* space-group type: R3

Cell lengths 5.6531, 5.6531, 5.6531 Å; angles 57.88, 57.88, 57.88 degrees
With the nearest neighbours (Å) after each atom.
Sites, in units of the cell vectors:
Tl 0.0000 0.0000 0.0000  6 O 2.20-2.44
Tl 0.4945 0.4945 0.4945  6 O 2.22-2.44
Zn 0.2305 0.2305 0.2305  6 O 2.06-2.30
Ge 0.7187 0.7187 0.7187  6 O 1.92-1.99
O 0.0576 0.4651 0.8447  1 Ge 1.92
O 0.3697 0.9284 0.5899  1 Ge 1.99, 1 Zn 2.06, 1 Tl 2.20
O 0.4651 0.8447 0.0576  1 Ge 1.92
O 0.5899 0.3697 0.9284  1 Ge 1.99, 1 Zn 2.06, 1 Tl 2.20
O 0.8447 0.0576 0.4651  1 Ge 1.92
O 0.9284 0.5899 0.3697  1 Ge 1.99, 1 Zn 2.06, 1 Tl 2.20

***

8.
A plane-wave DFT calculation with GGA-PBE was carried out for a relaxed structure of KAcRuO4.

* space-group type: Imma

Cell lengths 6.9894, 6.9894, 6.9894 Å; angles 123.85, 111.91, 94.00 degrees
With the nearest neighbours (Å) after each atom.
Sites, in units of the cell vectors:
K 0.3858 0.1358 0.2500  2 O 2.47
K 0.6142 0.8642 0.7500  2 O 2.47
Ac 0.0000 0.5000 0.5000  6 O 2.48-2.50
Ac 0.5000 0.5000 0.0000  6 O 2.48-2.50
Ru 0.0000 0.0000 0.5000  6 O 2.02-2.11
Ru 0.0000 0.5000 0.0000  6 O 2.02-2.11
O 0.1648 0.2465 0.9184  2 Ru 2.11
O 0.1719 0.7535 0.4184  2 Ru 2.11
O 0.2106 0.2364 0.5258  1 Ru 2.02
O 0.2106 0.6848 0.9742  1 Ru 2.02
O 0.7894 0.3152 0.0258  1 Ru 2.02
O 0.7894 0.7636 0.4742  1 Ru 2.02
O 0.8281 0.2465 0.5816  2 Ru 2.11
O 0.8352 0.7535 0.0816  2 Ru 2.11

***

Going through the records in order, we get total DFT energy (no corrections) values of -3.352, -7.346, -2.718, -6.987, -5.956, -1.980, -5.096, -6.726 eV per atom.